CdOsRh2 | GGA-PBE | optimized geometry

Output
E_tot: -6.458 eV per atom
Space group: Pmm2, No. 25
Energy of formation from the pure elements: 0.254 eV/atom

Structure (POSCAR):
```
CdOsRh2
1.0
-0.0293 2.7639 -0.0673
-2.1244 0.0569 3.2624
4.8763 0.1290 3.1731
Cd Os Rh
1 1 2
direct
0.0000 0.0000 0.4924 Cd
0.5000 0.5000 0.7881 Os
0.0000 0.0000 0.9844 Rh
0.5000 0.5000 0.2351 Rh
```

CdOsRh2 | GGA-PBE | optimized geometry

Output
E_tot: -6.028 eV per atom
Space group: I-42d, No. 122
Energy of formation from the pure elements: 0.684 eV/atom

Structure (POSCAR):
```
CdOsRh2
1.0
-4.1272 5.5711 -1.8893
-4.7183 -1.7565 5.1277
-3.0814 3.5052 3.4009
Rh Os Cd
4 2 2
direct
0.6661 0.1250 0.2500 Rh
0.0839 0.6250 0.2500 Rh
0.3750 0.3339 0.7500 Rh
0.8750 0.9161 0.7500 Rh
0.0000 0.0000 0.0000 Os
0.7500 0.2500 0.5000 Os
0.5000 0.5000 0.0000 Cd
0.2500 0.7500 0.5000 Cd
```

Cd2OsRh | GGA-PBE | optimized geometry

Output
E_tot: -4.727 eV per atom
Space group: C2/m, No. 12
Energy of formation from the pure elements: 0.376 eV/atom

Structure (POSCAR):
```
Cd2OsRh
1.0
-2.2802 -1.5890 4.0441
-0.2062 -3.4247 3.5082
2.9358 2.2971 3.4936
Cd Os Rh
2 1 1
direct
0.2489 0.2489 0.7524 Cd
0.7511 0.7511 0.2476 Cd
0.0000 0.0000 0.5000 Os
0.5000 0.5000 0.0000 Rh
```

CdOsRh2 | GGA-PBE | optimized geometry

Output
E_tot: -6.219 eV per atom
Space group: Pmmm, No. 47
Energy of formation from the pure elements: 0.493 eV/atom

Structure (POSCAR):
```
CdOsRh2
1.0
2.8162 0.0000 0.0000
0.0000 4.6517 0.0000
0.0000 0.0000 4.7924
Cd Os Rh
1 1 2
direct
0.5000 0.5000 0.0000 Cd
0.0000 0.5000 0.5000 Os
0.0000 0.0000 0.0000 Rh
0.5000 0.0000 0.5000 Rh
```

Cd2OsRh | GGA-PBE | optimized geometry

Output
E_tot: -4.697 eV per atom
Space group: Cmmm, No. 65
Energy of formation from the pure elements: 0.406 eV/atom

Structure (POSCAR):
```
Cd2OsRh
1.0
1.4762 -2.4011 0.0000
1.4762 2.4011 0.0000
0.0000 0.0000 9.5137
Cd Os Rh
2 1 1
direct
0.0000 0.0000 0.2448 Cd
0.0000 0.0000 0.7552 Cd
0.5000 0.5000 0.5000 Os
0.5000 0.5000 0.0000 Rh
```

CdOsRh | GGA-PBE | optimized geometry

Output
E_tot: -5.752 eV per atom
Space group: F-43m, No. 216
Energy of formation from the pure elements: 0.747 eV/atom

Structure (POSCAR):
```
CdOsRh
1.0
-1.4251 0.5936 3.9958
-3.8993 -1.3824 1.1108
-0.4139 -3.3438 2.6453
Cd Os Rh
1 1 1
direct
0.0000 0.0000 0.0000 Cd
0.5000 0.5000 0.5000 Os
0.7500 0.7500 0.7500 Rh
```

CdOsRh2 | GGA-PBE | optimized geometry

Output
E_tot: -6.530 eV per atom
Space group: Cm, No. 8
Energy of formation from the pure elements: 0.182 eV/atom

Structure (POSCAR):
```
CdOsRh2
1.0
2.8906 -3.7342 1.1175
3.6527 -1.6186 2.7544
-2.5227 -1.9352 3.6756
Cd Os Rh
1 1 2
direct
0.4992 0.4992 0.5186 Cd
0.2612 0.2612 0.2078 Os
0.9979 0.9979 0.0263 Rh
0.7417 0.7417 0.7472 Rh
```

Cd2OsRh | GGA-PBE | optimized geometry

Output
E_tot: -4.722 eV per atom
Space group: P2/m, No. 10
Energy of formation from the pure elements: 0.381 eV/atom

Structure (POSCAR):
```
Cd2OsRh
1.0
2.8211 0.0000 0.0000
0.0000 5.0043 -0.0087
0.0000 1.8517 4.7375
Cd Os Rh
2 1 1
direct
0.0000 0.0000 0.0000 Cd
0.5000 0.0000 0.5000 Cd
0.5000 0.5000 0.0000 Os
0.0000 0.5000 0.5000 Rh
```

Cd2OsRh | GGA-PBE | optimized geometry

Output
E_tot: -4.647 eV per atom
Space group: Cmmm, No. 65
Energy of formation from the pure elements: 0.456 eV/atom

Structure (POSCAR):
```
Cd2OsRh
1.0
2.8772 -4.1998 0.0000
2.8772 4.1998 0.0000
0.0000 0.0000 2.7981
Cd Os Rh
2 1 1
direct
0.5000 0.0000 0.0000 Cd
0.0000 0.5000 0.0000 Cd
0.0000 0.0000 0.5000 Os
0.5000 0.5000 0.5000 Rh
```

CdOsRh4 | GGA-PBE | optimized geometry

Output
E_tot: -6.445 eV per atom
Space group: F-43m, No. 216
Energy of formation from the pure elements: 0.480 eV/atom

Structure (POSCAR):
```
CdOsRh4
1.0
-1.2340 -2.5631 4.2571
-4.1999 -2.9269 0.0994
0.4362 -5.0997 0.1350
Cd Os Rh
1 1 4
direct
0.7500 0.7500 0.7500 Cd
0.0000 0.0000 0.0000 Os
0.8753 0.3749 0.3749 Rh
0.3749 0.3749 0.3749 Rh
0.3749 0.3749 0.8753 Rh
0.3749 0.8753 0.3749 Rh
```

Cd2OsRh | GGA-PBE | optimized geometry

Output
E_tot: -4.207 eV per atom
Space group: I-42d, No. 122
Energy of formation from the pure elements: 0.895 eV/atom

Structure (POSCAR):
```
Cd2OsRh
1.0
-0.6297 6.3706 3.9522
-5.6948 -2.9859 3.9057
-1.4534 0.7584 5.7066
Rh Os Cd
2 2 4
direct
0.5000 0.5000 0.0000 Rh
0.2500 0.7500 0.5000 Rh
0.0000 0.0000 0.0000 Os
0.7500 0.2500 0.5000 Os
0.6208 0.1250 0.2500 Cd
0.1292 0.6250 0.2500 Cd
0.3750 0.3792 0.7500 Cd
0.8750 0.8708 0.7500 Cd
```

CdOsRh2 | GGA-PBE | optimized geometry

Output
E_tot: -6.427 eV per atom
Space group: I4/mmm, No. 139
Energy of formation from the pure elements: 0.285 eV/atom

Structure (POSCAR):
```
CdOsRh2
1.0
-1.9996 1.9996 3.8457
1.9996 -1.9996 3.8457
1.9996 1.9996 -3.8457
Cd Os Rh
1 1 2
direct
0.5000 0.5000 0.0000 Cd
0.0000 0.0000 0.0000 Os
0.7500 0.2500 0.5000 Rh
0.2500 0.7500 0.5000 Rh
```

CdOsRh2 | GGA-PBE | optimized geometry

Output
E_tot: -6.415 eV per atom
Space group: Imm2, No. 44
Energy of formation from the pure elements: 0.297 eV/atom

Structure (POSCAR):
```
CdOsRh2
1.0
-1.3890 2.3022 5.0104
1.3890 -2.3022 5.0104
1.3890 2.3022 -5.0104
Cd Os Rh
1 1 2
direct
0.5104 0.5104 0.0000 Cd
0.7755 0.2755 0.5000 Os
0.9865 0.9865 0.0000 Rh
0.2276 0.7276 0.5000 Rh
```

Cd2OsRh | GGA-PBE | optimized geometry

Output
E_tot: -4.592 eV per atom
Space group: P4/mmm, No. 123
Energy of formation from the pure elements: 0.511 eV/atom

Structure (POSCAR):
```
Cd2OsRh
1.0
-3.4084 -2.9061 -1.5454
0.8602 -2.9339 3.6199
-2.0257 1.4814 1.6820
Cd Os Rh
2 1 1
direct
0.5000 0.0000 0.0000 Cd
0.0000 0.5000 0.0000 Cd
0.5000 0.5000 0.5000 Os
0.0000 0.0000 0.5000 Rh
```

Cd2OsRh | GGA-PBE | optimized geometry

Output
E_tot: -4.616 eV per atom
Space group: I-4m2, No. 119
Energy of formation from the pure elements: 0.487 eV/atom

Structure (POSCAR):
```
Cd2OsRh
1.0
-2.0743 2.0743 3.9206
2.0743 -2.0743 3.9206
2.0743 2.0743 -3.9206
Cd Os Rh
2 1 1
direct
0.0000 0.0000 0.0000 Cd
0.2500 0.7500 0.5000 Cd
0.5000 0.5000 0.0000 Os
0.7500 0.2500 0.5000 Rh
```

CdOsRh | GGA-PBE | optimized geometry

Output
E_tot: -6.065 eV per atom
Space group: Fmm2, No. 42
Energy of formation from the pure elements: 0.433 eV/atom

Structure (POSCAR):
```
CdOsRh
1.0
0.0000 2.3931 7.2641
1.3934 0.0000 7.2641
1.3934 2.3931 0.0000
Cd Os Rh
1 1 1
direct
0.9979 0.9979 0.0021 Cd
0.6744 0.6744 0.3256 Os
0.3278 0.3278 0.6722 Rh
```

CdOsRh2 | GGA-PBE | optimized geometry

Output
E_tot: -6.384 eV per atom
Space group: I-4m2, No. 119
Energy of formation from the pure elements: 0.328 eV/atom

Structure (POSCAR):
```
CdOsRh2
1.0
-1.9518 1.9518 4.0356
1.9518 -1.9518 4.0356
1.9518 1.9518 -4.0356
Cd Os Rh
1 1 2
direct
0.5000 0.5000 0.0000 Cd
0.7500 0.2500 0.5000 Os
0.0000 0.0000 0.0000 Rh
0.2500 0.7500 0.5000 Rh
```

CdOsRh2 | GGA-PBE | optimized geometry

Output
E_tot: -6.503 eV per atom
Space group: Cmmm, No. 65
Energy of formation from the pure elements: 0.209 eV/atom

Structure (POSCAR):
```
CdOsRh2
1.0
0.1546 3.9615 -2.7422
-0.5133 -3.8105 -2.9075
-2.7575 0.2331 0.1813
Cd Os Rh
1 1 2
direct
0.5000 0.5000 0.5000 Cd
0.0000 0.0000 0.5000 Os
0.0000 0.5000 0.0000 Rh
0.5000 0.0000 0.0000 Rh
```

CdOsRh | GGA-PBE | optimized geometry

Output
E_tot: -6.124 eV per atom
Space group: Imm2, No. 44
Energy of formation from the pure elements: 0.374 eV/atom

Structure (POSCAR):
```
CdOsRh
1.0
-1.6313 4.7700 2.2023
0.8444 5.1906 -1.6153
-1.7787 -5.1108 -0.9897
Cd Os Rh
1 1 1
direct
0.9990 0.9990 0.0000 Cd
0.6918 0.6918 0.0000 Os
0.3092 0.3092 0.0000 Rh
```

CdOsRh2 | GGA-PBE | optimized geometry

Output
E_tot: -6.306 eV per atom
Space group: P4/mmm, No. 123
Energy of formation from the pure elements: 0.406 eV/atom

Structure (POSCAR):
```
CdOsRh2
1.0
4.0555 0.0000 0.0000
0.0000 4.0555 0.0000
0.0000 0.0000 3.7746
Cd Os Rh
1 1 2
direct
0.5000 0.5000 0.5000 Cd
0.0000 0.0000 0.5000 Os
0.5000 0.0000 0.0000 Rh
0.0000 0.5000 0.0000 Rh
```